No. 1
Computed, not measured: a geometry-optimized AcZnCdAu structure at the GGA-PBE level of DFT.

Structure (POSCAR):
```
AcZnCdAu
1.0
0.000 3.670 3.670
3.670 0.000 3.670
3.670 3.670 0.000
Ac Zn Cd Au
1 1 1 1
Direct
0.000 0.000 0.000 Ac
0.750 0.750 0.750 Zn
0.500 0.500 0.500 Cd
0.250 0.250 0.250 Au
```

Computed properties:
formation energy from the elements = -0.417 eV/atom
space group = F-43m, No. 216
total moment = 0.00 μB/f.u.

=====

No. 2
Computed, not measured: a geometry-optimized Ac2Zn4CdAu3 structure at the GGA-PBE level of DFT.

Structure (POSCAR):
```
Ac2Zn4CdAu3
1.0
4.410 0.000 0.000
0.000 4.410 0.000
0.000 0.000 11.610
Ac Zn Cd Au
2 4 1 3
Direct
0.000 0.500 0.241 Ac
0.500 0.000 0.759 Ac
0.000 0.000 0.000 Zn
0.000 0.500 0.638 Zn
0.500 0.000 0.362 Zn
0.500 0.500 0.000 Zn
0.000 0.000 0.500 Cd
0.000 0.500 0.866 Au
0.500 0.000 0.134 Au
0.500 0.500 0.500 Au
```

Computed properties:
formation energy from the elements = -0.506 eV/atom
space group = P-4m2, No. 115
total moment = 0.00 μB/f.u.

=====

No. 3
Computed, not measured: a geometry-optimized Ac2Zn3CdAu4 structure at the GGA-PBE level of DFT.

Structure (POSCAR):
```
Ac2Zn3CdAu4
1.0
4.420 0.000 0.000
0.000 4.420 0.000
0.000 0.000 11.736
Ac Zn Cd Au
2 3 1 4
Direct
0.000 0.500 0.242 Ac
0.500 0.000 0.758 Ac
0.000 0.500 0.875 Zn
0.500 0.000 0.125 Zn
0.500 0.500 0.500 Zn
0.000 0.000 0.500 Cd
0.000 0.000 0.000 Au
0.000 0.500 0.652 Au
0.500 0.000 0.348 Au
0.500 0.500 0.000 Au
```

Computed properties:
formation energy from the elements = -0.544 eV/atom
space group = P-4m2, No. 115
total moment = 0.00 μB/f.u.

=====

No. 4
Computed, not measured: a geometry-optimized AcCe4Au5 structure at the GGA-PBE level of DFT.

Structure (POSCAR):
```
AcCe4Au5
1.0
3.748 0.000 0.000
0.000 3.748 0.000
0.000 0.000 18.572
Ac Ce Au
1 4 5
Direct
0.000 0.000 0.000 Ac
0.000 0.000 0.208 Ce
0.000 0.000 0.403 Ce
0.000 0.000 0.597 Ce
0.000 0.000 0.792 Ce
0.500 0.500 0.113 Au
0.500 0.500 0.304 Au
0.500 0.500 0.500 Au
0.500 0.500 0.696 Au
0.500 0.500 0.887 Au
```

Computed properties:
formation energy from the elements = -0.619 eV/atom
space group = P4/mmm, No. 123
total moment = 4.15 μB/f.u.

=====

No. 5
Computed, not measured: a geometry-optimized AcCeAu structure at the GGA-PBE level of DFT.

Structure (POSCAR):
```
AcCeAu
1.0
-1.924 1.924 6.365
1.924 -1.924 6.365
1.924 1.924 -6.365
Ac Ce Au
1 1 1
Direct
0.000 0.000 0.000 Ac
0.285 0.285 0.000 Ce
0.664 0.664 0.000 Au
```

Computed properties:
formation energy from the elements = -0.370 eV/atom
space group = I4mm, No. 107
total moment = 1.42 μB/f.u.

=====

No. 6
Computed, not measured: a geometry-optimized AcCeAu structure at the GGA-PBE level of DFT.

Structure (POSCAR):
```
AcCeAu
1.0
4.672 0.000 0.000
0.122 4.699 0.000
0.019 0.045 8.368
Ac Ce Au
2 2 2
Direct
0.246 0.246 0.366 Ac
0.754 0.754 0.634 Ac
0.284 0.710 0.001 Ce
0.716 0.290 0.999 Ce
0.225 0.222 0.745 Au
0.775 0.778 0.255 Au
```

Computed properties:
formation energy from the elements = -0.458 eV/atom
space group = P-1, No. 2
total moment = 0.76 μB/f.u.

=====

No. 7
Computed, not measured: a geometry-optimized AcCe3Au4 structure at the GGA-PBE level of DFT.

Structure (POSCAR):
```
AcCe3Au4
1.0
10.655 0.000 0.000
0.000 7.443 0.000
0.000 0.000 5.329
Ac Ce Au
2 6 8
Direct
0.000 0.000 0.000 Ac
0.500 0.000 0.000 Ac
0.000 0.500 0.000 Ce
0.250 0.000 0.499 Ce
0.250 0.500 0.499 Ce
0.500 0.500 0.000 Ce
0.750 0.000 0.501 Ce
0.750 0.500 0.501 Ce
0.000 0.265 0.500 Au
0.000 0.735 0.500 Au
0.250 0.264 0.999 Au
0.250 0.736 0.999 Au
0.500 0.265 0.500 Au
0.500 0.735 0.500 Au
0.750 0.264 0.001 Au
0.750 0.736 0.001 Au
```

Computed properties:
formation energy from the elements = -0.619 eV/atom
space group = Pmma, No. 51
total moment = 3.15 μB/f.u.

=====

No. 8
Computed, not measured: a geometry-optimized AcCe2Au structure at the GGA-PBE level of DFT.

Structure (POSCAR):
```
AcCe2Au
1.0
0.000 3.844 3.844
3.844 0.000 3.844
3.844 3.844 0.000
Ac Ce Au
1 2 1
Direct
0.000 0.000 0.000 Ac
0.250 0.250 0.250 Ce
0.750 0.750 0.750 Ce
0.500 0.500 0.500 Au
```

Computed properties:
formation energy from the elements = 0.025 eV/atom
space group = Fm-3m, No. 225
total moment = 3.23 μB/f.u.

=====

No. 9
Computed, not measured: a geometry-optimized AcCe2Au structure at the GGA-PBE level of DFT.

Structure (POSCAR):
```
AcCe2Au
1.0
4.472 0.000 0.000
0.000 4.472 0.000
0.000 0.000 5.780
Ac Ce Au
1 2 1
Direct
0.000 0.000 0.000 Ac
0.000 0.500 0.500 Ce
0.500 0.000 0.500 Ce
0.500 0.500 0.000 Au
```

Computed properties:
formation energy from the elements = -0.130 eV/atom
space group = P4/mmm, No. 123
total moment = 2.56 μB/f.u.

=====

No. 10
Computed, not measured: a geometry-optimized AcCe2Au structure at the GGA-PBE level of DFT.

Structure (POSCAR):
```
AcCe2Au
1.0
3.811 0.000 0.000
0.000 3.811 0.000
0.000 0.000 8.402
Ac Ce Au
1 2 1
Direct
0.000 0.000 0.000 Ac
0.500 0.500 0.304 Ce
0.500 0.500 0.696 Ce
0.000 0.000 0.500 Au
```

Computed properties:
formation energy from the elements = -0.221 eV/atom
space group = P4/mmm, No. 123
total moment = 1.66 μB/f.u.

=====

No. 11
Computed, not measured: a geometry-optimized Ac2CeAu4 structure at the GGA-PBE level of DFT.

Structure (POSCAR):
```
Ac2CeAu4
1.0
-2.778 2.778 6.703
2.778 -2.778 6.703
2.778 2.778 -6.703
Ac Ce Au
2 1 4
Direct
0.214 0.214 0.000 Ac
0.786 0.786 0.000 Ac
0.500 0.500 0.000 Ce
0.109 0.609 0.500 Au
0.391 0.891 0.500 Au
0.609 0.109 0.500 Au
0.891 0.391 0.500 Au
```

Computed properties:
formation energy from the elements = -0.606 eV/atom
space group = I4/mmm, No. 139
total moment = 1.40 μB/f.u.

=====

No. 12
Computed, not measured: a geometry-optimized AcCeAu structure at the GGA-PBE level of DFT.

Structure (POSCAR):
```
AcCeAu
1.0
6.390 -1.995 0.000
6.390 1.995 0.000
-2.427 0.000 7.252
Ac Ce Au
2 2 2
Direct
0.168 0.168 0.133 Ac
0.832 0.832 0.867 Ac
0.479 0.479 0.307 Ce
0.521 0.521 0.693 Ce
0.171 0.171 0.568 Au
0.829 0.829 0.432 Au
```

Computed properties:
formation energy from the elements = -0.302 eV/atom
space group = C2/m, No. 12
total moment = 1.17 μB/f.u.